Ca3MgPb3 | PBE | optimized geometry

Values from the calculation:
ΔH_f (0 K)	-0.336	eV/atom
DOS(E_F)	17.005	states/eV per cell

Unit cell a=10.6932 b=11.0977 c=7.4575 alpha=90.00 beta=90.00 gamma=90.00
Last column: nearest neighbours and their distance in Å.
Space group Cmmm (No. 65)
Unique sites:
Ca: 0.0000 0.2367 0.0000 (multiplicity 4)  6 Pb 3.31-3.54
Ca: 0.2115 0.0000 0.5000 (multiplicity 4)  6 Pb 3.33-3.53, 2 Mg 3.65
Ca: 0.2460 0.5000 0.0000 (multiplicity 4)  6 Pb 3.31-3.38
Mg: 0.0000 0.2586 0.5000 (multiplicity 4)  6 Pb 3.18-3.22
Pb: 0.0000 0.5000 0.2690 (multiplicity 4)  2 Mg 3.18, 6 Ca 3.31-3.54, 1 Pb 3.45
Pb: 0.2500 0.2500 0.2600 (multiplicity 8)  2 Mg 3.22, 6 Ca 3.31-3.38, 1 Pb 3.58



Ca4MgPb | PBE | optimized geometry

Values from the calculation:
ΔH_f (0 K)	0.193	eV/atom
DOS(E_F)	27.511	states/eV per cell

Unit cell a=9.6011 b=9.6011 c=9.6011 alpha=90.00 beta=90.00 gamma=90.00
Last column: nearest neighbours and their distance in Å.
Space group F-43m (No. 216)
Unique sites:
Ca: 0.1255 0.1255 0.1255 (multiplicity 16)  6 Ca 3.38-3.41
Mg: 0.2500 0.2500 0.7500 (multiplicity 4)  12 Ca 3.98, 4 Pb 4.16
Pb: 0.0000 0.0000 0.5000 (multiplicity 4)  12 Ca 3.98, 4 Mg 4.16



CaMg2Pb2 | PBE | optimized geometry

Values from the calculation:
ΔH_f (0 K)	-0.220	eV/atom
DOS(E_F)	4.529	states/eV per cell

Unit cell a=4.6701 b=4.6701 c=13.3126 alpha=90.00 beta=90.00 gamma=90.00
Last column: nearest neighbours and their distance in Å.
Space group I4/mmm (No. 139)
Unique sites:
Ca: 0.0000 0.0000 0.0000 (multiplicity 2)  8 Pb 3.63, 8 Mg 4.07
Mg: 0.0000 0.5000 0.2500 (multiplicity 4)  4 Pb 2.96, 4 Mg 3.30
Pb: 0.0000 0.0000 0.3867 (multiplicity 4)  4 Mg 2.96, 1 Pb 3.02



CaMg2Pb2 | PBE | optimized geometry

Values from the calculation:
ΔH_f (0 K)	-0.190	eV/atom
DOS(E_F)	4.498	states/eV per cell

Unit cell a=8.7370 b=8.7370 c=3.5871 alpha=90.00 beta=90.00 gamma=90.00
Last column: nearest neighbours and their distance in Å.
Space group P4/mbm (No. 127)
Unique sites:
Ca: 0.0000 0.0000 0.0000 (multiplicity 2)  4 Mg 3.47, 2 Ca 3.59, 8 Pb 3.69
Mg: 0.1217 0.3783 0.0000 (multiplicity 4)  1 Mg 3.01, 6 Pb 3.08-3.19
Pb: 0.1756 0.6756 0.5000 (multiplicity 4)  6 Mg 3.08-3.19



Ca2Mg2Pb | PBE | optimized geometry

Values from the calculation:
ΔH_f (0 K)	0.178	eV/atom
ΔE to the lowest computed polymorph	0.345	eV per atom
DOS(E_F)	7.450	states/eV per cell

Unit cell a=4.7230 b=4.7230 c=14.7603 alpha=90.00 beta=90.00 gamma=90.00
Last column: nearest neighbours and their distance in Å.
Space group I4/mmm (No. 139)
Unique sites:
Ca: 0.0000 0.5000 0.2500 (multiplicity 4)  4 Mg 3.30, 4 Ca 3.34
Mg: 0.0000 0.0000 0.0936 (multiplicity 4)  1 Mg 2.76
Pb: 0.0000 0.0000 0.5000 (multiplicity 2)  8 Mg 3.61



Ca3Mg5Pb2 | PBE | optimized geometry

Values from the calculation:
ΔH_f (0 K)	-0.164	eV/atom
DOS(E_F)	18.481	states/eV per cell

Unit cell a=13.0720 b=13.6603 c=6.5900 alpha=90.00 beta=90.00 gamma=90.00
Last column: nearest neighbours and their distance in Å.
Space group Ibam (No. 72)
Unique sites:
Ca: 0.0000 0.0000 0.2500 (multiplicity 4)  4 Pb 3.17, 2 Ca 3.29, 2 Mg 3.42
Ca: 0.1306 0.2464 0.0000 (multiplicity 8)  3 Pb 3.35-3.56, 4 Mg 3.53-3.62
Mg: 0.0000 0.5000 0.2500 (multiplicity 4)  8 Mg 2.99-3.29
Mg: 0.1147 0.3545 0.5000 (multiplicity 8)  1 Pb 2.83, 4 Mg 2.99-3.05
Mg: 0.2386 0.5000 0.2500 (multiplicity 8)  5 Mg 3.05-3.29, 2 Pb 3.07
Pb: 0.1378 0.1484 0.5000 (multiplicity 8)  3 Mg 2.83-3.07



Ca2Mg2Pb | PBE | optimized geometry

Values from the calculation:
ΔH_f (0 K)	-0.167	eV/atom
ΔE to the lowest computed polymorph	0.000	eV per atom
DOS(E_F)	8.194	states/eV per cell

Unit cell a=7.7375 b=7.7375 c=5.0925 alpha=90.00 beta=90.00 gamma=90.00
Last column: nearest neighbours and their distance in Å.
Space group P4/mbm (No. 127)
Unique sites:
Ca: 0.1739 0.3261 0.0000 (multiplicity 4)  6 Mg 3.32-3.49
Mg: 0.1310 0.6310 0.5000 (multiplicity 4)  1 Mg 2.87, 2 Pb 3.03
Pb: 0.0000 0.0000 0.5000 (multiplicity 2)  4 Mg 3.03



Ca2Mg3Pb2 | PBE | optimized geometry

Values from the calculation:
ΔH_f (0 K)	-0.276	eV/atom
DOS(E_F)	6.225	states/eV per cell

Unit cell a=11.4383 b=4.7356 c=7.7709 alpha=90.00 beta=110.24 gamma=90.00
Last column: nearest neighbours and their distance in Å.
Space group C2/m (No. 12)
Unique sites:
Ca: 0.1409 0.0000 0.2717 (multiplicity 4)  4 Pb 3.30-3.42, 6 Mg 3.47-3.65
Mg: 0.0000 0.5000 0.5000 (multiplicity 2)  4 Pb 3.09, 2 Mg 3.16
Mg: 0.1109 0.5000 0.9330 (multiplicity 4)  3 Pb 3.04-3.08, 2 Mg 3.06-3.16
Pb: 0.1557 0.0000 0.7183 (multiplicity 4)  5 Mg 3.04-3.09, 2 Ca 3.30



no.,calculated total energy (eV per formula unit)
1,-21.07
2,-12.15
3,-13.71
4,-13.56
5,-10.01
6,-23.03
7,-11.74
8,-18.13